{
  "formula": "Mg2CoMo",
  "functional": "GGA-PBEsol",
  "state": "relaxed",
  "rho_kg_m3": 5394,
  "ef_mev_per_atom": 306,
  "lattice": [[2.768, 0.000, 0.000], [0.000, 4.112, 0.000], [-1.281, 0.000, 5.504]],
  "species": ["Mg", "Mg", "Co", "Mo"],
  "fractional_positions": [[0.000, 0.000, 0.000], [0.314, 0.500, 0.714], [0.556, 0.000, 0.449], [0.683, 0.500, 0.266]]
}